Model one:
The following is a PBE calculation of SmInGe2 after structural relaxation, from the Alexandria database.

Summary:
Its total magnetization is 0.00 μB/f.u. As for the space-group type: R-3m. Its volume is 144.59 Å³/f.u.

POSCAR file:
```
SmInGe2
1.0
4.817 0.000 0.000
-2.408 4.171 0.000
0.000 0.000 21.589
Sm In Ge
3 3 6
Direct
0.000 0.000 0.000
0.333 0.667 0.667
0.667 0.333 0.333
0.000 0.000 0.500
0.333 0.667 0.167
0.667 0.333 0.833
0.000 0.000 0.379
0.000 0.000 0.621
0.333 0.667 0.046
0.333 0.667 0.288
0.667 0.333 0.712
0.667 0.333 0.954
```


Model two:
The following is a PBE calculation of SmInGe2 after structural relaxation, from the Alexandria database.

Summary:
Its total magnetization is 0.00 μB/f.u. As for the space-group type: I4/mmm. Its volume is 90.39 Å³/f.u.

POSCAR file:
```
SmInGe2
1.0
4.367 0.000 0.000
0.000 4.367 0.000
0.000 0.000 18.956
Sm In Ge
4 4 8
Direct
0.000 0.000 0.109
0.000 0.000 0.891
0.500 0.500 0.391
0.500 0.500 0.609
0.000 0.500 0.250
0.000 0.500 0.750
0.500 0.000 0.250
0.500 0.000 0.750
0.000 0.000 0.385
0.000 0.000 0.615
0.000 0.500 0.000
0.000 0.500 0.500
0.500 0.000 0.000
0.500 0.000 0.500
0.500 0.500 0.115
0.500 0.500 0.885
```


Here are the energies relative to the best structure, in meV per atom: model one 657; model two 0.